Computed, not measured: an optimized crystal structure of Ca2CdSi at the PBE level of DFT.

a = 5.910 Å, b = 6.035 Å, c = 6.259 Å
α = 105.84°, β = 92.49°, γ = 101.81°
Positions (direct):
1 Ca 0.655 0.124 0.776
2 Ca 0.345 0.876 0.224
3 Ca 0.760 0.530 0.350
4 Si 0.123 0.955 0.650
5 Ca 0.240 0.470 0.650
6 Si 0.877 0.045 0.350
7 Cd 0.179 0.297 0.088
8 Cd 0.821 0.703 0.912

Summary:
Raw formation energy = -0.373 eV/atom
D(E_F) = 1.01 states/eV/f.u.